A plane-wave DFT calculation with PBE was carried out for a relaxed structure of Nd2GaO4.

Cell: 6.676 6.676 9.433 Å, 90.00 90.00 90.00°
Space group I4_1/amd (No. 141, origin choice 2)
Symmetry-distinct sites (fractional):
Nd 0.000 0.000 0.000
Ga 0.000 0.250 0.375
O 0.000 0.017 0.259

Calculated values
Raw total energy in eV per atom: -7.16


A plane-wave DFT calculation with PBE was carried out for a relaxed structure of NaPrTc.

Cell: 6.840 6.840 6.840 Å, 90.00 90.00 90.00°
Space group F-43m (No. 216)
Symmetry-distinct sites (fractional):
Na 0.000 0.000 0.000
Pr 0.250 0.250 0.250
Tc 0.000 0.000 0.500

Calculated values
Excess energy over the best structure of this formula in the dataset in eV per formula unit: 0.080


A plane-wave DFT calculation with PBE was carried out for a relaxed structure of GdDySi.

Cell: 6.881 6.881 6.881 Å, 90.00 90.00 90.00°
Space group F-43m (No. 216)
Symmetry-distinct sites (fractional):
Gd 0.000 0.000 0.000
Dy 0.000 0.000 0.500
Si 0.250 0.250 0.750

Calculated values
Excess energy over the best structure of this formula in the dataset in eV per formula unit: 0.000